(1)
Entry from the Alexandria database: NaCeNiS3 after structural relaxation (GGA-PBE).

Output
**Formation energy (no corrections)**: -7.687 eV/f.u.
**Symmetry**: P2_1/m, No. 11
**E_tot**: -5.517 eV per atom

Cell lengths 3.937, 8.131, 8.665 Å; angles 101.54, 90.00, 90.00 degrees
Positions (direct):
S1 0.750 0.898 0.151
Ce1 0.250 0.678 0.173
Ni1 0.750 0.913 0.424
S2 0.750 0.433 0.159
S3 0.250 0.102 0.849
Ni2 0.250 0.087 0.576
S4 0.750 0.192 0.513
Ce2 0.750 0.322 0.827
Na1 0.250 0.180 0.216
Na2 0.750 0.820 0.784
S5 0.250 0.567 0.841
S6 0.250 0.808 0.487

=====

(2)
Entry from the Alexandria database: Na3Ce2NiS6 after structural relaxation (GGA-PBE).

Output
**Formation energy (no corrections)**: -15.856 eV/f.u.
**Symmetry**: C2/m, No. 12
**E_tot**: -5.186 eV per atom

Cell lengths 6.799, 6.799, 7.043 Å; angles 99.15, 99.15, 120.23 degrees
Positions (direct):
Na1 0.165 0.835 0.500
Na2 0.835 0.165 0.500
S1 0.609 0.925 0.776
S2 0.075 0.391 0.224
S3 0.391 0.075 0.224
Ni1 0.000 0.000 0.000
Ce1 0.667 0.333 0.000
Na3 0.500 0.500 0.500
S4 0.236 0.236 0.784
S5 0.925 0.609 0.776
Ce2 0.333 0.667 0.000
S6 0.764 0.764 0.216

=====

(3)
Entry from the Alexandria database: Na2Ce2NiS6 after structural relaxation (GGA-PBE).

Output
**Formation energy (no corrections)**: -13.889 eV/f.u.
**Symmetry**: C2/m, No. 12
**E_tot**: -5.358 eV per atom

Cell lengths 6.719, 6.719, 7.084 Å; angles 98.88, 98.88, 119.90 degrees
Positions (direct):
Na1 0.834 0.166 0.000
S1 0.386 0.067 0.715
S2 0.227 0.227 0.293
S3 0.933 0.614 0.285
Na2 0.166 0.834 0.000
Ni1 0.000 0.000 0.500
Ce1 0.665 0.335 0.500
S4 0.773 0.773 0.707
Ce2 0.335 0.665 0.500
S5 0.614 0.933 0.285
S6 0.067 0.386 0.715

=====

The lowest formation energy (no corrections) belongs to which entry? Na3Ce2NiS6

=====

formation energy (no corrections) of number 3 (Na2Ce2NiS6)? -13.889 eV/f.u.